The following is a DFT calculation (PBE) of crystalline NdEr2Ta at its relaxed geometry.

a = 11.933 Å, b = 11.933 Å, c = 11.933 Å
α = 15.79°, β = 15.79°, γ = 15.79°
Positions (direct):
Nd 0.000 0.000 0.000
Er 0.418 0.418 0.418
Er 0.582 0.582 0.582
Ta 0.500 0.500 0.500

## Properties
For the formation energy, the calculation gives 0.614 eV per atom. The density of states at the Fermi level comes out at 1.302 states/eV per atom. The total energy is -5.822 eV per atom.